Entry 1:
DFT (PBE) results for a relaxed structure of ZnCl2F2.

a = 3.386 Å, b = 3.369 Å, c = 9.562 Å
α = 99.40°, β = 90.00°, γ = 120.16°
Fractional coordinates of all 5 atoms:
1 Cl 0.090 0.180 0.599
2 Zn 0.000 0.000 0.000
3 F 0.304 0.607 0.907
4 F 0.696 0.393 0.093
5 Cl 0.910 0.820 0.401

Calculated values
spin magnetization: 0.00 μB per formula unit
energy relative to the elements, uncorrected: -6.23 eV per formula unit
distance to the lowest polymorph of the same formula: 0 meV per atom
volume: 18.5 Å³ per atom

***

Entry 2:
DFT (PBE) results for a relaxed structure of CaCoCSe2.

a = 5.053 Å, b = 3.553 Å, c = 5.053 Å
α = 90.00°, β = 90.00°, γ = 90.00°
Fractional coordinates of all 5 atoms:
1 Co 0.000 0.000 0.000
2 Ca 0.500 0.500 0.500
3 C 0.000 0.500 0.000
4 Se 0.000 0.000 0.500
5 Se 0.500 0.000 0.000

Calculated values
spin magnetization: 0.00 μB per formula unit
Fermi-level density of states: 2.18 states/eV per cell
energy relative to the elements, uncorrected: -0.68 eV per formula unit
volume: 18.1 Å³ per atom

***

Entry 3:
DFT (PBE) results for a relaxed structure of Dy2ScTl4.

a = 6.396 Å, b = 6.396 Å, c = 6.396 Å
α = 104.52°, β = 112.00°, γ = 112.00°
Site moments in Bohr magnetons follow the coordinates.
Fractional coordinates of all 7 atoms:
1 Tl 0.500 0.500 0.500  0.00
2 Tl 0.000 0.500 0.000  0.00
3 Dy 0.500 0.500 0.000  0.07
4 Dy 0.500 0.000 0.500  0.07
5 Tl 0.000 0.000 0.500  0.00
6 Tl 0.500 0.000 0.000  0.00
7 Sc 0.000 0.000 0.000  0.18

Calculated values
spin magnetization: 0.48 μB per formula unit
formation energy from the elements: -202 meV per atom
Fermi-level density of states: 5.98 states/eV per cell
volume: 28.6 Å³ per atom

***

Entry 4:
DFT (PBE) results for a relaxed structure of Tb12Tm6Th.

a = 8.694 Å, b = 8.694 Å, c = 8.694 Å
α = 100.18°, β = 100.18°, γ = 100.18°
Fractional coordinates of all 19 atoms:
1 Tm 0.105 0.105 0.668
2 Tb 0.655 0.655 0.925
3 Tb 0.345 0.345 0.075
4 Tm 0.332 0.895 0.895
5 Tb 0.655 0.925 0.655
6 Tb 0.756 0.500 0.244
7 Tb 0.244 0.500 0.756
8 Th 0.000 0.000 0.000
9 Tb 0.244 0.756 0.500
10 Tm 0.105 0.668 0.105
11 Tb 0.925 0.655 0.655
12 Tb 0.345 0.075 0.345
13 Tm 0.895 0.895 0.332
14 Tb 0.500 0.244 0.756
15 Tb 0.756 0.244 0.500
16 Tm 0.895 0.332 0.895
17 Tb 0.075 0.345 0.345
18 Tm 0.668 0.105 0.105
19 Tb 0.500 0.756 0.244

Calculated values
spin magnetization: 0.00 μB per formula unit
formation energy from the elements: 214 meV per atom
Fermi-level density of states: 36.81 states/eV per cell
distance to the lowest polymorph of the same formula: 73 meV per atom
volume: 32.7 Å³ per atom